A relaxed structure of V2AgO, computed with GGA+U.

space-group type	I-42d
electronic total energy	-46.562	eV for the cell shown
magnetic moment	12.26	Bohr magnetons per cell

a = 6.259 Å, b = 6.259 Å, c = 5.638 Å
α = 56.29°, β = 56.29°, γ = 90.00°
Last column: magnetic moment on the atom in μB.
Atoms (fractional coordinates):
Ag: 0.000 0.000 0.000  0.04
Ag: 0.750 0.250 0.500  0.04
O: 0.500 0.500 0.000  -0.06
O: 0.250 0.750 0.500  -0.06
V: 0.520 0.125 0.250  2.67
V: 0.230 0.625 0.250  2.67
V: 0.375 0.480 0.750  2.67
V: 0.875 0.770 0.750  2.67